# 1
DyAl2Sb: relaxed, PBE.

For the density of states at the Fermi level, the calculation gives 2.08 states/eV per cell. The calculation puts the formation energy without anion corrections at -0.36 eV/atom. Its total energy is -4.4166 eV per atom.

The structure belongs to space group P4/mmm (No. 123); the cell edges are 4.5045, 4.5045 and 4.3400 Å and the angles 90.00°, 90.00° and 90.00°. The inequivalent atoms are Dy at (0.0000, 0.0000, 0.0000), Al at (0.0000, 0.5000, 0.5000) and Sb at (0.5000, 0.5000, 0.0000).

---

# 2
LiMg6Tl2: relaxed, PBE.

For the density of states at the Fermi level, the calculation gives 7.51 states/eV per cell. For the energy relative to the elements, the calculation gives -0.0547 eV/atom. The excess energy over the best structure of this formula in the dataset is 0 meV/atom. Its total energy is -1.8563 eV per atom.

The structure belongs to space group C2/m (No. 12); the cell edges are 10.0796, 4.4818 and 9.5635 Å and the angles 90.00°, 108.22° and 90.00°. The inequivalent atoms are Li at (0.0000, 0.0000, 0.0000), Mg at (0.0018, 0.0000, 0.6673), Mg at (0.1658, 0.5000, 0.5546), Mg at (0.1683, 0.5000, 0.8904) and Tl at (0.1618, 0.5000, 0.2168).

---

# 3
Pm6TlOs2: relaxed, PBE.

For the density of states at the Fermi level, the calculation gives 32.90 states/eV per cell. For the energy relative to the elements, the calculation gives -0.1930 eV/atom. Its total energy is -6.1185 eV per atom.

The structure belongs to space group Immm (No. 71); the cell edges are 9.6812, 9.9670 and 10.5989 Å and the angles 90.00°, 90.00° and 90.00°. The inequivalent atoms are Pm at (0.0000, 0.2091, 0.2393), Pm at (0.1880, 0.5000, 0.1706), Pm at (0.2191, 0.3150, 0.5000), Tl at (0.0000, 0.0000, 0.0000), Tl at (0.0000, 0.0000, 0.5000), Os at (0.0000, 0.3336, 0.0000) and Os at (0.0000, 0.5000, 0.3831).

---

# 4
CoMoHRh2: relaxed, PBE.

For the density of states at the Fermi level, the calculation gives 4.63 states/eV per cell. The excess energy over the best structure of this formula in the dataset is 0 meV/atom. Its total energy is -7.2230 eV per atom.

The structure belongs to space group P4/mmm (No. 123); the cell edges are 3.8648, 3.8648 and 3.7962 Å and the angles 90.00°, 90.00° and 90.00°. The inequivalent atoms are Co at (0.0000, 0.0000, 0.0000), Mo at (0.5000, 0.5000, 0.0000), H at (0.0000, 0.0000, 0.5000) and Rh at (0.0000, 0.5000, 0.5000).

---

# 5
LiTaP2: relaxed, PBE.

For the density of states at the Fermi level, the calculation gives 2.68 states/eV per cell. For the energy relative to the elements, the calculation gives 0.1876 eV/atom. The excess energy over the best structure of this formula in the dataset is 755 meV/atom. Its total energy is -5.9589 eV per atom.

The structure belongs to space group P4mm (No. 99); the cell edges are 2.6859, 2.6859 and 10.1285 Å and the angles 90.00°, 90.00° and 90.00°. The inequivalent atoms are Li at (0.0000, 0.0000, 0.0000), Ta at (0.5000, 0.5000, 0.7557), P at (0.0000, 0.0000, 0.5645) and P at (0.5000, 0.5000, 0.1770).

---

# 6
NdZn3Rh2: relaxed, PBE.

For the density of states at the Fermi level, the calculation gives 10.12 states/eV per cell. For the energy relative to the elements, the calculation gives -0.1897 eV/atom. Its total energy is -4.0718 eV per atom.

The structure belongs to space group I4/mmm (No. 139); the cell edges are 4.9358, 4.9358 and 10.2832 Å and the angles 90.00°, 90.00° and 90.00°. The inequivalent atoms are Nd at (0.0000, 0.0000, 0.0000), Zn at (0.0000, 0.0000, 0.5000), Zn at (0.0000, 0.5000, 0.2500) and Rh at (0.0000, 0.0000, 0.2670).

---

# 7
La5S4N: relaxed, PBE.

For the density of states at the Fermi level, the calculation gives 9.08 states/eV per cell. The calculation puts the formation energy without anion corrections at -1.96 eV/atom. Its total energy is -6.9028 eV per atom.

The structure belongs to space group I4/mmm (No. 139); the cell edges are 4.1026, 4.1026 and 28.7728 Å and the angles 90.00°, 90.00° and 90.00°. The inequivalent atoms are La at (0.0000, 0.0000, 0.0000), La at (0.0000, 0.0000, 0.2005), La at (0.0000, 0.0000, 0.4128), S at (0.0000, 0.0000, 0.0990), S at (0.0000, 0.0000, 0.3038) and N at (0.0000, 0.0000, 0.5000).

---

# 8
SrZrZnPb2: relaxed, PBE.

For the density of states at the Fermi level, the calculation gives 4.12 states/eV per cell. For the energy relative to the elements, the calculation gives 0.2717 eV/atom. Its total energy is -3.5124 eV per atom.

The structure belongs to space group P4/mmm (No. 123); the cell edges are 5.4428, 5.4428 and 5.2637 Å and the angles 90.00°, 90.00° and 90.00°. The inequivalent atoms are Sr at (0.0000, 0.0000, 0.0000), Zr at (0.5000, 0.5000, 0.0000), Zn at (0.5000, 0.5000, 0.5000) and Pb at (0.0000, 0.5000, 0.5000).